Entry 1:
A relaxed Pm4ZnOs crystal. Source: Alexandria, functional GGA-PBE.

Summary:
VASP energy: -5.410 eV/atom
SG: No. 2
distance to the lowest polymorph of the same formula: 0.09 eV per formula unit

Unit cell a=6.2390 b=8.3622 c=8.1062 alpha=114.16 beta=104.15 gamma=106.09
Last column: nearest neighbours and their distance in Å.
Sites, in units of the cell vectors:
Os: 0.7498 0.9999 0.9998  8 Pm 2.91-3.00, 2 Os 3.12
Os: 0.2502 0.0001 0.0002  8 Pm 2.91-3.00, 2 Os 3.12
Pm: 0.3629 0.9385 0.6469  2 Os 2.99-3.00, 2 Zn 3.20-3.25
Pm: 0.0431 0.2152 0.8590  2 Os 2.91-2.96, 1 Zn 3.16
Pm: 0.7824 0.7092 0.6471  2 Os 2.98-3.00, 2 Zn 3.21-3.25
Pm: 0.9569 0.7848 0.1410  2 Os 2.91-2.96, 1 Zn 3.16
Pm: 0.2176 0.2908 0.3529  2 Os 2.98-3.00, 2 Zn 3.21-3.25
Pm: 0.6371 0.0615 0.3531  2 Os 2.99-3.00, 2 Zn 3.20-3.25
Pm: 0.3145 0.6436 0.8581  2 Os 2.91-2.96, 1 Zn 3.17
Pm: 0.6855 0.3564 0.1419  2 Os 2.91-2.96, 1 Zn 3.17
Zn: 0.3740 0.6246 0.2487  8 Pm 3.16-3.35
Zn: 0.6260 0.3754 0.7513  8 Pm 3.16-3.35

=====

Entry 2:
A relaxed Pm4ZnOs crystal. Source: Alexandria, functional GGA-PBE.

Summary:
VASP energy: -5.426 eV/atom
SG: No. 216
distance to the lowest polymorph of the same formula: 0.00 eV per formula unit

Unit cell a=9.7581 b=9.7581 c=9.7581 alpha=60.00 beta=60.00 gamma=60.00
Last column: nearest neighbours and their distance in Å.
Sites, in units of the cell vectors:
Pm: 0.8098 0.8098 0.1902  2 Zn 3.40, 10 Pm 3.49-3.71, 2 Os 3.50
Pm: 0.8098 0.1902 0.8098  2 Zn 3.40, 10 Pm 3.49-3.71, 2 Os 3.50
Pm: 0.5563 0.5563 0.9437  2 Os 2.80
Pm: 0.9437 0.5563 0.5563  2 Os 2.80
Pm: 0.8098 0.1902 0.1902  2 Zn 3.40, 10 Pm 3.49-3.71, 2 Os 3.50
Pm: 0.1902 0.8098 0.1902  2 Zn 3.40, 10 Pm 3.49-3.71, 2 Os 3.50
Pm: 0.9437 0.5563 0.9437  2 Os 2.80
Pm: 0.4015 0.4015 0.7955  3 Os 2.91
Pm: 0.9437 0.9437 0.5563  2 Os 2.80
Pm: 0.5563 0.9437 0.5563  2 Os 2.80
Pm: 0.4015 0.7955 0.4015  3 Os 2.91
Pm: 0.1902 0.1902 0.8098  2 Zn 3.40, 10 Pm 3.49-3.71, 2 Os 3.50
Pm: 0.1902 0.8098 0.8098  2 Zn 3.40, 10 Pm 3.49-3.71, 2 Os 3.50
Pm: 0.4015 0.4015 0.4015  3 Os 2.91
Pm: 0.5563 0.9437 0.9437  2 Os 2.80
Pm: 0.7955 0.4015 0.4015  3 Os 2.91
Zn: 0.1739 0.1739 0.1739  3 Zn 2.97
Zn: 0.1739 0.4783 0.1739  3 Zn 2.97
Zn: 0.4783 0.1739 0.1739  3 Zn 2.97
Zn: 0.1739 0.1739 0.4783  3 Zn 2.97
Os: 0.1648 0.6117 0.6117  6 Pm 2.80-2.91
Os: 0.6117 0.6117 0.1648  6 Pm 2.80-2.91
Os: 0.6117 0.1648 0.6117  6 Pm 2.80-2.91
Os: 0.6117 0.6117 0.6117  6 Pm 2.80-2.91

=====

Entry 3:
A relaxed Pm6Zn5Os crystal. Source: Alexandria, functional GGA-PBE.

Summary:
VASP energy: -4.128 eV/atom
SG: No. 65

Unit cell a=5.1338 b=7.3064 c=8.1046 alpha=90.00 beta=71.54 gamma=90.00
Last column: nearest neighbours and their distance in Å.
Sites, in units of the cell vectors:
Zn: 0.6760 0.0000 0.6481  8 Pm 3.10-3.21, 2 Zn 3.43
Zn: 0.3319 0.5000 0.3361  8 Pm 3.18-3.25
Zn: 0.3240 0.0000 0.3519  8 Pm 3.10-3.21, 2 Zn 3.43
Zn: 0.6681 0.5000 0.6639  8 Pm 3.18-3.25
Zn: 0.0000 0.5000 0.0000  8 Pm 3.08-3.21
Pm: 0.1590 0.2437 0.6820  1 Os 3.02, 7 Zn 3.08-3.25
Pm: 0.8410 0.2437 0.3180  1 Os 3.02, 7 Zn 3.08-3.25
Pm: 0.5000 0.2362 0.0000  2 Os 3.09, 6 Zn 3.21-3.22, 1 Pm 3.45
Pm: 0.8410 0.7563 0.3180  1 Os 3.02, 7 Zn 3.08-3.25
Pm: 0.5000 0.7638 0.0000  2 Os 3.09, 6 Zn 3.21-3.22, 1 Pm 3.45
Pm: 0.1590 0.7563 0.6820  1 Os 3.02, 7 Zn 3.08-3.25
Os: 0.0000 0.0000 0.0000  8 Pm 3.02-3.09

=====

Entry 4:
A relaxed PmZnOs crystal. Source: Alexandria, functional GGA-PBE.

Summary:
VASP energy: -5.634 eV/atom
SG: No. 63

Unit cell a=4.7573 b=4.7573 c=5.7012 alpha=90.00 beta=90.00 gamma=115.08
Last column: nearest neighbours and their distance in Å.
Sites, in units of the cell vectors:
Zn: 0.7069 0.2931 0.2500  2 Os 2.75, 5 Pm 2.79-2.89
Zn: 0.2931 0.7069 0.7500  2 Os 2.75, 5 Pm 2.79-2.89
Pm: 0.3467 0.6533 0.2500  5 Zn 2.79-2.89
Pm: 0.6533 0.3467 0.7500  5 Zn 2.79-2.89
Os: 0.0000 0.0000 0.0000  2 Zn 2.75, 2 Os 2.85
Os: 0.0000 0.0000 0.5000  2 Zn 2.75, 2 Os 2.85

=====

Entry 5:
A relaxed Pm4Zn3Os crystal. Source: Alexandria, functional GGA-PBE.

Summary:
VASP energy: -4.486 eV/atom
SG: No. 123

Unit cell a=3.5750 b=3.5750 c=14.9301 alpha=90.00 beta=90.00 gamma=90.00
Last column: nearest neighbours and their distance in Å.
Sites, in units of the cell vectors:
Zn: 0.5000 0.5000 0.2513  8 Pm 3.13-3.26
Zn: 0.5000 0.5000 0.5000  8 Pm 3.14
Zn: 0.5000 0.5000 0.7487  8 Pm 3.13-3.26
Pm: 0.0000 0.0000 0.1136  4 Os 3.04, 4 Zn 3.26, 1 Pm 3.39
Pm: 0.0000 0.0000 0.8864  4 Os 3.04, 4 Zn 3.26, 1 Pm 3.39
Pm: 0.0000 0.0000 0.3747  8 Zn 3.13-3.14
Pm: 0.0000 0.0000 0.6253  8 Zn 3.13-3.14
Os: 0.5000 0.5000 0.0000  8 Pm 3.04

=====

Entry 6:
A relaxed Pm5Zn4Os crystal. Source: Alexandria, functional GGA-PBE.

Summary:
VASP energy: -4.254 eV/atom
SG: No. 123

Unit cell a=3.5901 b=3.5901 c=18.5978 alpha=90.00 beta=90.00 gamma=90.00
Last column: nearest neighbours and their distance in Å.
Sites, in units of the cell vectors:
Os: 0.0000 0.0000 0.0000  8 Pm 3.05
Pm: 0.5000 0.5000 0.7009  8 Zn 3.13-3.15
Pm: 0.5000 0.5000 0.9092  4 Os 3.05, 4 Zn 3.26, 1 Pm 3.38
Pm: 0.5000 0.5000 0.5000  8 Zn 3.15
Pm: 0.5000 0.5000 0.0908  4 Os 3.05, 4 Zn 3.26, 1 Pm 3.38
Pm: 0.5000 0.5000 0.2991  8 Zn 3.13-3.15
Zn: 0.0000 0.0000 0.6004  8 Pm 3.15
Zn: 0.0000 0.0000 0.3996  8 Pm 3.15
Zn: 0.0000 0.0000 0.2006  8 Pm 3.13-3.26
Zn: 0.0000 0.0000 0.7994  8 Pm 3.13-3.26

=====

Entry 7:
A relaxed Pm3Zn8Os crystal. Source: Alexandria, functional GGA-PBE.

Summary:
VASP energy: -3.148 eV/atom
SG: No. 160

Unit cell a=5.3182 b=5.3182 c=9.5809 alpha=73.89 beta=73.89 gamma=60.00
Last column: nearest neighbours and their distance in Å.
Sites, in units of the cell vectors:
Zn: 0.9379 0.4484 0.6758  6 Zn 2.60-2.84
Zn: 0.4316 0.9353 0.2016  6 Zn 2.62-2.82
Zn: 0.4484 0.9379 0.6758  6 Zn 2.60-2.84
Zn: 0.4316 0.4316 0.2016  6 Zn 2.62-2.82
Zn: 0.9353 0.4316 0.2016  6 Zn 2.62-2.82
Zn: 0.1877 0.1877 0.4368  6 Zn 2.62-2.68
Zn: 0.9379 0.9379 0.6758  6 Zn 2.60-2.84
Zn: 0.6862 0.6862 0.9413  6 Zn 2.82-2.84, 3 Pm 3.15
Pm: 0.9881 0.9881 0.0356  1 Os 2.87, 9 Zn 3.06-3.19
Pm: 0.3779 0.3779 0.8662  12 Zn 3.15-3.40, 4 Pm 3.43-3.45
Pm: 0.5045 0.5045 0.4864  12 Zn 3.01-3.17, 3 Os 3.31
Os: 0.8828 0.8828 0.3516  1 Pm 2.87, 9 Zn 2.99-3.17

=====

Entry 8:
A relaxed Pm8ZnOs2 crystal. Source: Alexandria, functional GGA-PBE.

Summary:
VASP energy: -5.653 eV/atom
SG: No. 8

Unit cell a=5.7075 b=7.9463 c=7.9463 alpha=112.06 beta=97.78 gamma=97.78
Last column: nearest neighbours and their distance in Å.
Sites, in units of the cell vectors:
Os: 0.4995 0.6922 0.3138  8 Pm 2.92-3.06
Os: 0.4995 0.3138 0.6922  8 Pm 2.92-3.06
Pm: 0.0000 0.2470 0.7602  2 Os 2.99, 1 Zn 3.21
Pm: 0.4145 0.9371 0.6755  2 Os 2.92-2.95
Pm: 0.5858 0.0695 0.3314  2 Os 2.92-2.95
Pm: 0.7967 0.6242 0.6242  2 Os 3.06, 1 Zn 3.28
Pm: 0.4145 0.6755 0.9371  2 Os 2.92-2.95
Pm: 0.5858 0.3314 0.0695  2 Os 2.92-2.95
Pm: 0.2025 0.3808 0.3808  2 Os 3.06, 1 Zn 3.28
Pm: 0.0000 0.7602 0.2470  2 Os 2.99, 1 Zn 3.21
Zn: 0.0010 0.0024 0.0024  4 Pm 3.21-3.28

=====

Across the entries above, energy of formation from the pure elements takes the values -159.2 -174.8 -286.4 117.0 -229.4 -245.7 -175.0 -40.0 meV/atom, respectively.